Compound: SiHg2Sb
Source: Alexandria via LeMat-Bulk
Functional: PBEsol
Structure: optimized geometry

Properties
The relative energy among the computed polymorphs comes out at 0.191 eV per atom. The space group is Cmmm, No. 65.

Cell: 3.222 3.222 9.369 Å, 90.00 90.00 113.40°
Sites, in units of the cell vectors:
1 Si 0.000 0.000 0.000
2 Hg 0.500 0.500 0.227
3 Hg 0.500 0.500 0.773
4 Sb 0.000 0.000 0.500